[1]
First-principles (PBE) data for MgCdTe2 after structural relaxation, as listed in Alexandria via LeMat-Bulk.

Summary:
total magnetic moment	0.0	Bohr magnetons per cell
E_form (uncorrected)	-0.6677	eV per atom

```
MgCdTe2
1.0
-1.4811 0.5435 7.8839
-3.1503 -2.9281 -1.7575
5.4474 -5.8907 0.0543
Mg Te Cd
2 4 2
Direct
0.2953 0.9059 0.1124
0.7971 0.1562 0.8633
0.1691 0.3428 0.9315
0.6757 0.5956 0.6810
0.6668 0.0912 0.1704
0.1732 0.8450 0.4235
0.7954 0.6555 0.3625
0.2973 0.4071 0.6170
```

=====

[2]
First-principles (PBE) data for MgCdTe2 after structural relaxation, as listed in Alexandria via LeMat-Bulk.

Summary:
total magnetic moment	0.0	Bohr magnetons per cell
E_form (uncorrected)	-0.5212	eV per atom

```
MgCdTe2
1.0
-8.5464 -15.2575 -4.9680
5.5161 -6.5940 -1.5754
4.7947 -1.0245 7.2354
Mg Te Cd
8 16 8
Direct
0.4035 0.5227 0.3106
0.0965 0.8106 0.0227
0.5965 0.4773 0.6894
0.9035 0.1894 0.9773
0.3760 0.0841 0.2244
0.1240 0.7244 0.5841
0.6240 0.9159 0.7756
0.8760 0.2756 0.4159
0.9692 0.8466 0.6486
0.5308 0.1486 0.3466
0.0308 0.1534 0.3514
0.4692 0.8514 0.6534
0.7193 0.3024 0.1083
0.7807 0.6083 0.8024
0.2807 0.6976 0.8917
0.2193 0.3917 0.1976
0.5049 0.7080 0.2732
0.9951 0.7732 0.2080
0.4951 0.2920 0.7268
0.0049 0.2268 0.7920
0.7500 0.1960 0.6960
0.2500 0.8040 0.3040
0.7500 0.7040 0.2040
0.2500 0.2960 0.7960
0.1218 0.2091 0.1513
0.3782 0.6513 0.7091
0.8782 0.7909 0.8487
0.6218 0.3487 0.2909
0.3407 0.2220 0.6047
0.1593 0.1047 0.7220
0.6593 0.7780 0.3953
0.8407 0.8953 0.2780
```

=====

[3]
First-principles (PBE) data for MgCdTe2 after structural relaxation, as listed in Alexandria via LeMat-Bulk.

Summary:
total magnetic moment	0.0	Bohr magnetons per cell
E_form (uncorrected)	-0.2392	eV per atom

```
MgCdTe2
1.0
-0.7314 -3.9751 0.6094
2.7006 1.0027 -2.8998
5.9959 -0.2610 5.4938
Cd Mg Te
1 1 2
Direct
0.5000 0.5000 0.2500
0.5000 0.5000 0.7500
0.0000 0.0000 0.9914
0.0000 0.0000 0.5086
```

=====

> Which value of total magnetic moment does entry 1 give?

0.0 Bohr magnetons per cell

=====

> Which of these has the lowest E_form (uncorrected)?

number 1

=====

> What is the formula in the third record?

MgCdTe2